Entry 1:
# GGA-PBE Li2CdHg, optimized geometry
# Total magnetic moment, μB/atom: 0.000
# ρ, g/cm3: 7.46
# Relative energy among the computed polymorphs, eV per atom: 0.007
data_Li2CdHg
_cell_length_a 6.626
_cell_length_b 6.626
_cell_length_c 6.626
_cell_angle_alpha 90.00
_cell_angle_beta 90.00
_cell_angle_gamma 90.00
_symmetry_space_group_name_H-M 'F m -3 m'
_symmetry_Int_Tables_number 225
_symmetry_space_group_name_Hall '-F 4 2 3'
loop_
_atom_site_label
_atom_site_type_symbol
_atom_site_fract_x
_atom_site_fract_y
_atom_site_fract_z
Li1 Li 0.250 0.250 0.250
Cd1 Cd 0.000 0.000 0.000
Hg1 Hg 0.000 0.000 0.500

Entry 2:
# GGA-PBE Li3CdHg12, optimized geometry
# Energy, eV per atom: -0.750
# Total magnetic moment, μB/atom: 0.000
# ρ, g/cm3: 11.30
data_Li3CdHg12
_cell_length_a 4.399
_cell_length_b 4.399
_cell_length_c 19.286
_cell_angle_alpha 90.00
_cell_angle_beta 90.00
_cell_angle_gamma 90.00
_symmetry_space_group_name_H-M 'P 4/m m m'
_symmetry_Int_Tables_number 123
_symmetry_space_group_name_Hall '-P 4 2'
loop_
_atom_site_label
_atom_site_type_symbol
_atom_site_fract_x
_atom_site_fract_y
_atom_site_fract_z
Li1 Li 0.000 0.000 0.000
Li2 Li 0.000 0.000 0.244
Cd1 Cd 0.000 0.000 0.500
Hg1 Hg 0.000 0.500 0.121
Hg2 Hg 0.000 0.500 0.366
Hg3 Hg 0.500 0.500 0.000
Hg4 Hg 0.500 0.500 0.244
Hg5 Hg 0.500 0.500 0.500